(1)
# ScMoSe2 | the Alexandria database | PBE-GGA | optimized geometry
# Energy relative to the elements, uncorrected = -0.4390 eV/atom
# DFT total energy = -77.66 eV per cell
# Crystal system = trigonal
# Polymorph energy (0 for the lowest one) = 0.336 eV per atom
data_ScMoSe2
_symmetry_space_group_name_H-M 'R 3 m'
_symmetry_Int_Tables_number 160
_symmetry_space_group_name_Hall 'R 3 -2"'
_cell_length_a 3.3172
_cell_length_b 3.3172
_cell_length_c 27.4645
_cell_angle_alpha 90.00
_cell_angle_beta 90.00
_cell_angle_gamma 120.00
loop_
_atom_site_label
_atom_site_fract_x
_atom_site_fract_y
_atom_site_fract_z
Sc1 0.0000 0.0000 0.0000
Mo1 0.0000 0.0000 0.7513
Se1 0.0000 0.0000 0.2662
Se2 0.0000 0.0000 0.4777

(2)
# TbBIr | the Alexandria database | PBE-GGA | optimized geometry
# DFT total energy = -87.99 eV per cell
# Crystal system = monoclinic
# Polymorph energy (0 for the lowest one) = 0.041 eV per atom
# Calculated formation energy = -0.6096 eV/atom
data_TbBIr
_symmetry_space_group_name_H-M 'C 1 2/m 1'
_symmetry_Int_Tables_number 12
_cell_length_a 11.594
_cell_length_b 3.425
_cell_length_c 5.174
_cell_angle_alpha 90.00
_cell_angle_beta 108.63
_cell_angle_gamma 90.00
loop_
_symmetry_equiv_pos_as_xyz
'x,y,z'
'-x,-y,-z'
'-x,y,-z'
'x,-y,z'
'x+1/2,y+1/2,z'
'-x+1/2,-y+1/2,-z'
'-x+1/2,y+1/2,-z'
'x+1/2,-y+1/2,z'
loop_
_atom_site_label
_atom_site_fract_x
_atom_site_fract_y
_atom_site_fract_z
Tb1 0.116 0.000 0.298
B1 0.226 0.000 0.878
Ir1 0.112 0.500 0.767

(3)
# KRbLiHg | the Alexandria database | PBE-GGA | optimized geometry
# DFT total energy = -17.25 eV per cell
# Crystal system = cubic
# Calculated formation energy = -0.0082 eV/atom
data_KRbLiHg
_symmetry_space_group_name_H-M 'F -4 3 m'
_symmetry_Int_Tables_number 216
_symmetry_space_group_name_Hall 'F -4 2 3'
_cell_length_a 8.898
_cell_length_b 8.898
_cell_length_c 8.898
_cell_angle_alpha 90.00
_cell_angle_beta 90.00
_cell_angle_gamma 90.00
loop_
_atom_site_label
_atom_site_fract_x
_atom_site_fract_y
_atom_site_fract_z
K1 0.000 0.000 0.000
Rb1 0.000 0.000 0.500
Li1 0.250 0.250 0.750
Hg1 0.250 0.250 0.250

(4)
# ZnSb2Ru | the Alexandria database | PBE-GGA | optimized geometry
# Energy relative to the elements, uncorrected = 0.0491 eV/atom
# DFT total energy = -18.60 eV per cell
# Crystal system = monoclinic
data_ZnSb2Ru
_symmetry_space_group_name_H-M 'P 1 m 1'
_symmetry_Int_Tables_number 6
_cell_length_a 3.772
_cell_length_b 4.315
_cell_length_c 5.189
_cell_angle_alpha 90.00
_cell_angle_beta 111.22
_cell_angle_gamma 90.00
loop_
_symmetry_equiv_pos_as_xyz
'x,y,z'
'x,-y,z'
loop_
_atom_site_label
_atom_site_fract_x
_atom_site_fract_y
_atom_site_fract_z
Zn1 0.000 0.000 0.000
Sb1 0.445 0.500 0.888
Sb2 0.725 0.000 0.450
Ru1 0.154 0.500 0.307

(5)
# Pr5NdSm | the Alexandria database | PBE-GGA | optimized geometry
# DFT total energy = -53.79 eV per cell
# Crystal system = orthorhombic
# Polymorph energy (0 for the lowest one) = 0.754 eV per atom
# Calculated formation energy = 0.9272 eV/atom
data_Pr5NdSm
_symmetry_space_group_name_H-M 'I m m m'
_symmetry_Int_Tables_number 71
_symmetry_space_group_name_Hall '-I 2 2'
_cell_length_a 5.965
_cell_length_b 8.924
_cell_length_c 12.178
_cell_angle_alpha 90.00
_cell_angle_beta 90.00
_cell_angle_gamma 90.00
loop_
_atom_site_label
_atom_site_fract_x
_atom_site_fract_y
_atom_site_fract_z
Pr1 0.000 0.000 0.000
Pr2 0.000 0.178 0.500
Pr3 0.000 0.500 0.250
Nd1 0.000 0.500 0.500
Sm1 0.000 0.500 0.000

(6)
# Sc5BeZn4 | the Alexandria database | PBE-GGA | optimized geometry
# DFT total energy = -43.52 eV per cell
# Crystal system = tetragonal
# Calculated formation energy = -0.3037 eV/atom
data_Sc5BeZn4
_symmetry_space_group_name_H-M 'P 4/m m m'
_symmetry_Int_Tables_number 123
_symmetry_space_group_name_Hall '-P 4 2'
_cell_length_a 3.304
_cell_length_b 3.304
_cell_length_c 16.704
_cell_angle_alpha 90.00
_cell_angle_beta 90.00
_cell_angle_gamma 90.00
loop_
_atom_site_label
_atom_site_fract_x
_atom_site_fract_y
_atom_site_fract_z
Sc1 0.000 0.000 0.000
Sc2 0.000 0.000 0.204
Sc3 0.000 0.000 0.409
Be1 0.500 0.500 0.500
Zn1 0.500 0.500 0.102
Zn2 0.500 0.500 0.307

(7)
# CdPt2Pb | the Alexandria database | PBE-GGA | optimized geometry
# DFT total energy = -66.43 eV per cell
# Crystal system = cubic
# Polymorph energy (0 for the lowest one) = 0.204 eV per atom
# Calculated formation energy = 0.0244 eV/atom
data_CdPt2Pb
_symmetry_space_group_name_H-M 'F -4 3 m'
_symmetry_Int_Tables_number 216
_symmetry_space_group_name_Hall 'F -4 2 3'
_cell_length_a 6.786
_cell_length_b 6.786
_cell_length_c 6.786
_cell_angle_alpha 90.00
_cell_angle_beta 90.00
_cell_angle_gamma 90.00
loop_
_atom_site_label
_atom_site_fract_x
_atom_site_fract_y
_atom_site_fract_z
Cd1 0.000 0.000 0.000
Pt1 0.000 0.000 0.500
Pt2 0.250 0.250 0.750
Pb1 0.250 0.250 0.250

(8)
# SrAcSN | the Alexandria database | PBE-GGA | optimized geometry
# Energy relative to the elements, uncorrected = -1.5437 eV/atom
# DFT total energy = -73.25 eV per cell
# Crystal system = trigonal
data_SrAcSN
_symmetry_space_group_name_H-M 'R 3 m'
_symmetry_Int_Tables_number 160
_symmetry_space_group_name_Hall 'R 3 -2"'
_cell_length_a 4.0476
_cell_length_b 4.0476
_cell_length_c 20.5546
_cell_angle_alpha 90.00
_cell_angle_beta 90.00
_cell_angle_gamma 120.00
loop_
_atom_site_label
_atom_site_fract_x
_atom_site_fract_y
_atom_site_fract_z
Sr1 0.0000 0.0000 0.0000
Ac1 0.0000 0.0000 0.4772
S1 0.0000 0.0000 0.2452
N1 0.0000 0.0000 0.7527

DOS(E_F) readings, ordered: 4.34, 2.03, 2.04, 3.00, 13.86, 9.34, 2.64, 0.00 states/eV/f.u.